VASP calculation (PBE) on Y4GeSb2 after structural relaxation.

## Properties
- Size of the total moment: 0.00 μB per formula unit
- Formation energy (no corrections): -867 meV/atom
- Space group: No. 12

a = 6.2350 Å, b = 6.2350 Å, c = 8.5323 Å
α = 116.36°, β = 116.36°, γ = 41.46°
Sites, in units of the cell vectors:
Y (0.0845, 0.0845, 0.3721)
Y (0.3288, 0.3288, 0.9300)
Y (0.6712, 0.6712, 0.0700)
Y (0.9155, 0.9155, 0.6279)
Ge (0.0000, 0.0000, 0.0000)
Sb (0.3497, 0.3497, 0.3261)
Sb (0.6503, 0.6503, 0.6739)